La2TaIn | PBE | relaxed

It has space group I-42d (No. 122), with a = 8.576 Å, b = 8.576 Å, c = 6.221 Å, α = 90.00°, β = 90.00° and γ = 90.00°. Symmetry generates all atoms from La at (0.223, 0.250, 0.125), Ta at (0.000, 0.000, 0.000) and In at (0.000, 0.000, 0.500).

The energy of formation from the pure elements comes out at 0.506 eV per atom. As for the crystal system: tetragonal. The calculation puts the total magnetization at 0.115 μB/atom.

=====

EuHoMgAl | PBE | relaxed

It has space group F-43m (No. 216), with a = 7.524 Å, b = 7.524 Å, c = 7.524 Å, α = 90.00°, β = 90.00° and γ = 90.00°. Symmetry generates all atoms from Eu at (0.000, 0.000, 0.000), Ho at (0.000, 0.000, 0.500), Mg at (0.250, 0.250, 0.250) and Al at (0.250, 0.250, 0.750).

The energy of formation from the pure elements comes out at -0.187 eV per atom. As for the crystal system: cubic. The calculation puts the total magnetization at 1.830 μB/atom.

=====

RbLiP2S | PBE | relaxed

It has space group P4/mmm (No. 123), with a = 4.637 Å, b = 4.637 Å, c = 5.005 Å, α = 90.00°, β = 90.00° and γ = 90.00°. Symmetry generates all atoms from Rb at (0.000, 0.000, 0.000), Li at (0.500, 0.500, 0.500), P at (0.000, 0.500, 0.500) and S at (0.500, 0.500, 0.000).

As for the crystal system: tetragonal. For the energy relative to the lowest polymorph listed for this composition, the calculation gives 0.000 eV/atom. The calculation puts the total magnetization at 0.000 μB/atom.

=====

LiPaTlHg | PBE | relaxed

It has space group F-43m (No. 216), with a = 7.263 Å, b = 7.263 Å, c = 7.263 Å, α = 90.00°, β = 90.00° and γ = 90.00°. Symmetry generates all atoms from Li at (0.000, 0.000, 0.000), Pa at (0.000, 0.000, 0.500), Tl at (0.250, 0.250, 0.250) and Hg at (0.250, 0.250, 0.750).

The energy of formation from the pure elements comes out at 0.044 eV per atom. As for the crystal system: cubic. The calculation puts the total magnetization at 0.220 μB/atom.

=====

BaSiAg2Hg | PBE | relaxed

It has space group P4/mmm (No. 123), with a = 4.922 Å, b = 4.922 Å, c = 5.631 Å, α = 90.00°, β = 90.00° and γ = 90.00°. Symmetry generates all atoms from Ba at (0.000, 0.000, 0.000), Si at (0.500, 0.500, 0.500), Ag at (0.000, 0.500, 0.500) and Hg at (0.500, 0.500, 0.000).

As for the crystal system: tetragonal. The calculation puts the total energy at -2.76 eV per atom. The calculation puts the total magnetization at 0.000 μB/atom.

=====

FeRe3Ir | PBE | relaxed

It has space group Pm-3m (No. 221), with a = 4.349 Å, b = 4.349 Å, c = 4.349 Å, α = 90.00°, β = 90.00° and γ = 90.00°. Symmetry generates all atoms from Fe at (0.000, 0.000, 0.000), Re at (0.000, 0.000, 0.500) and Ir at (0.500, 0.500, 0.500).

The energy of formation from the pure elements comes out at 1.543 eV per atom. As for the crystal system: cubic. For the energy relative to the lowest polymorph listed for this composition, the calculation gives 0.000 eV/atom. The calculation puts the total magnetization at 0.000 μB/atom.

=====

ZrW2N | PBE | relaxed

It has space group I-42d (No. 122), with a = 7.179 Å, b = 7.179 Å, c = 4.737 Å, α = 90.00°, β = 90.00° and γ = 90.00°. Symmetry generates all atoms from Zr at (0.000, 0.000, 0.000), W at (0.134, 0.750, 0.625) and N at (0.000, 0.000, 0.500).

As for the crystal system: tetragonal. The calculation puts the total energy at -10.73 eV per atom. The calculation puts the total magnetization at 0.000 μB/atom.

=====

Ba8Hg2N | PBE | relaxed

It has space group C2/m (No. 12), with a = 19.632 Å, b = 6.835 Å, c = 7.490 Å, α = 90.00°, β = 96.82° and γ = 90.00°. Symmetry generates all atoms from Ba at (0.042, 0.000, 0.266), Ba at (0.073, 0.500, 0.818), Ba at (0.125, 0.500, 0.392), Ba at (0.203, 0.000, 0.828), Hg at (0.222, 0.000, 0.309) and N at (0.000, 0.500, 0.500).

As for the crystal system: monoclinic. The calculation puts the total energy at -2.33 eV per atom. The calculation puts the total magnetization at 0.000 μB/atom.

=====

AcLa2ThSe4 | PBE | relaxed

It has space group P2/m (No. 10), with a = 7.482 Å, b = 4.316 Å, c = 7.501 Å, α = 90.00°, β = 109.47° and γ = 90.00°. Symmetry generates all atoms from Ac at (0.000, 0.000, 0.000), La at (0.500, 0.000, 0.500), La at (0.500, 0.500, 0.000), Th at (0.000, 0.500, 0.500), Se at (0.249, 0.000, 0.742) and Se at (0.254, 0.500, 0.259).

As for the crystal system: monoclinic. The calculation puts the total energy at -6.25 eV per atom. The calculation puts the total magnetization at 0.000 μB/atom.

=====

CsPmF4 | PBE | relaxed

It has space group Pnma (No. 62), with a = 6.513 Å, b = 3.803 Å, c = 17.040 Å, α = 90.00°, β = 90.00° and γ = 90.00°. Symmetry generates all atoms from Cs at (0.229, 0.250, 0.197), Pm at (0.248, 0.750, 0.447), F at (0.003, 0.750, 0.949), F at (0.108, 0.250, 0.825), F at (0.118, 0.250, 0.381) and F at (0.128, 0.250, 0.536).

As for the crystal system: orthorhombic. For the energy relative to the lowest polymorph listed for this composition, the calculation gives 0.000 eV/atom. The calculation puts the total magnetization at 0.003 μB/atom.

=====

EuTmZn | PBE | relaxed

It has space group P3m1 (No. 156), with a = 5.0793 Å, b = 5.0793 Å, c = 3.8317 Å, α = 90.00°, β = 90.00° and γ = 120.00°. Symmetry generates all atoms from Eu at (0.0000, 0.0000, 0.0000), Tm at (0.3333, 0.6667, 0.5043) and Zn at (0.6667, 0.3333, 0.4844).

The energy of formation from the pure elements comes out at 0.004 eV per atom. As for the crystal system: trigonal. For the energy relative to the lowest polymorph listed for this composition, the calculation gives 0.173 eV/atom. The calculation puts the total magnetization at 2.434 μB/atom.

=====

SrLaCdAg | PBE | relaxed

It has space group F-43m (No. 216), with a = 7.852 Å, b = 7.852 Å, c = 7.852 Å, α = 90.00°, β = 90.00° and γ = 90.00°. Symmetry generates all atoms from Sr at (0.000, 0.000, 0.000), La at (0.000, 0.000, 0.500), Cd at (0.250, 0.250, 0.250) and Ag at (0.250, 0.250, 0.750).

The energy of formation from the pure elements comes out at -0.271 eV per atom. As for the crystal system: cubic. For the energy relative to the lowest polymorph listed for this composition, the calculation gives 0.026 eV/atom. The calculation puts the total magnetization at 0.000 μB/atom.